Entry 1:
11
Lattice="-0.8575 -2.8443 8.8963 -3.4403 8.3372 -2.5741 -0.0503 -9.3196 1.0548" Properties=species:S:1:pos:R:3 comment="Dy5Er2Te2Ir2 | the Open Quantum Materials Database | PBE-GGA | relaxed" e_above_lowest_polymorph_ev_per_fu=0.08 crystal_system=orthorhombic sg="No. 44" pbc="T T T"
Dy -2.9308 3.7458 4.3114
Dy -0.5208 -3.5442 3.4881
Dy -2.1048 -2.0196 6.1415
Dy -1.5133 -2.7403 0.1616
Dy -0.8549 -8.0218 7.1512
Er -1.2584 -0.1480 2.9868
Er -1.0693 -6.2609 1.4182
Ir -3.4544 1.2279 7.1424
Ir -3.0704 -2.2726 3.4367
Te -0.0890 0.1137 0.1309
Te -3.5359 1.7973 1.8744

=====

Entry 2:
14
Lattice="1.9996 -12.1159 0.0000 1.9996 12.1159 0.0000 0.0000 0.0000 4.0777" Properties=species:S:1:pos:R:3 comment="AsHPd5 | the Open Quantum Materials Database | PBE-GGA | relaxed" crystal_system=orthorhombic sg="No. 36" total_energy_ev_per_cell=-71.2 pbc="T T T"
As 1.9996 -9.6317 0.9623
As 1.9996 9.6317 3.0012
H 1.9996 6.1933 0.8450
H 1.9996 -6.1933 2.8838
Pd 1.9996 11.0840 0.9623
Pd 1.9996 1.0197 0.9627
Pd 1.9996 8.1663 0.9627
Pd 1.9996 3.9686 0.9639
Pd 1.9996 -6.0727 0.9648
Pd 1.9996 -11.0840 3.0012
Pd 1.9996 -1.0197 3.0015
Pd 1.9996 -8.1663 3.0016
Pd 1.9996 -3.9686 3.0028
Pd 1.9996 6.0727 3.0036

=====

Entry 3:
12
Lattice="2.0653 -8.0494 0.0000 2.0653 8.0494 0.0000 0.0000 0.0000 10.7946" Properties=species:S:1:pos:R:3 comment="CsPaCuSe3 | the Open Quantum Materials Database | PBE-GGA | relaxed" crystal_system=orthorhombic sg="No. 63" total_energy_ev_per_cell=-63.2 pbc="T T T"
Cs 2.0653 3.9061 2.6987
Cs 2.0653 -3.9061 8.0960
Cu 2.0653 -0.5345 2.6987
Cu 2.0653 0.5345 8.0960
Pa 0.0000 0.0000 0.0000
Pa 0.0000 0.0000 5.3973
Se 2.0653 -1.8817 0.6549
Se 2.0653 -7.1293 2.6987
Se 2.0653 -1.8817 4.7424
Se 2.0653 1.8817 6.0522
Se 2.0653 7.1293 8.0960
Se 2.0653 1.8817 10.1397

=====

Entry 4:
12
Lattice="-1.7342 0.1652 -7.5062 -0.7756 -3.0747 7.0230 -8.2095 6.7421 2.0450" Properties=species:S:1:pos:R:3 comment="KAgSnSeS2 | the Open Quantum Materials Database | PBE-GGA | relaxed" crystal_system=orthorhombic sg="No. 63" total_energy_ev_per_cell=-45.0 pbc="T T T"
Ag -3.3802 0.4772 -0.8356
Ag -7.3391 3.3554 2.3974
K -3.0825 -0.5291 3.6773
K -7.6369 4.3617 -2.1155
S -1.6173 -0.8628 -1.9239
S -5.2274 2.1021 -1.0246
S -5.4919 1.7305 2.5864
S -9.1021 4.6954 3.4857
Se -3.7322 1.6670 -6.1714
Se -6.9871 2.1655 7.7332
Sn 0.0000 0.0000 0.0000
Sn -4.1048 3.3710 1.0225

=====

Entry 5:
9
Lattice="-0.9772 -1.7458 -6.7097 6.3949 -0.3926 2.8240 -0.7253 -3.8494 1.1072" Properties=species:S:1:pos:R:3 comment="Ho3Al3Cu2Ir | the Open Quantum Materials Database | PBE-GGA | relaxed" crystal_system=hexagonal sg="No. 189" total_energy_ev_per_cell=-46.7 pbc="T T T"
Al -1.1096 -3.2593 -4.5756
Al 0.9136 -2.4284 -0.3617
Al 4.5258 -2.2248 2.7124
Cu 1.1176 -3.2194 -2.9782
Cu 3.5749 -2.7683 0.1997
Ho -0.4079 -0.7288 -2.8010
Ho 2.6695 -0.1639 1.1789
Ho 3.1561 -1.2457 -2.2636
Ir 0.0000 0.0000 0.0000

=====

Entry 6:
8
Lattice="-3.6793 -1.8550 0.5627 1.6418 -3.6238 -1.2112 1.4549 -1.1991 5.5598" Properties=species:S:1:pos:R:3 comment="Al2Co4IrPt | the Open Quantum Materials Database | PBE-GGA | relaxed" crystal_system=tetragonal sg="No. 115" total_energy_ev_per_cell=-53.3 pbc="T T T"
Al 1.1807 -2.1085 0.7695
Al -0.7446 -1.8301 4.4661
Co -1.0187 -2.7394 -0.3243
Co -1.4837 -1.2209 1.6415
Co 0.7274 -0.5996 2.7799
Co 1.9199 -2.7177 3.5940
Ir 0.0000 0.0000 0.0000
Pt -0.2913 -3.3390 2.4556

=====

Entry 7:
5
Lattice="-1.6881 -2.3746 -2.2414 -3.9387 -2.8173 5.9510 -6.2584 0.2674 4.4301" Properties=species:S:1:pos:R:3 comment="Dy2TlNiAu | the Open Quantum Materials Database | PBE-GGA | relaxed" crystal_system=orthorhombic sg="No. 38" total_energy_ev_per_cell=-23.2 pbc="T T T"
Au -8.1535 -2.0389 8.3006
Dy -4.5882 -2.1235 2.6910
Dy -7.3117 -2.8046 5.4636
Ni -1.9624 -0.4907 1.9978
Tl -0.0666 -0.0167 0.0678

=====

Entry 8:
10
Lattice="-0.1863 -8.3530 -1.6909 8.2928 0.2123 -1.9625 1.0495 -0.9014 4.3371" Properties=species:S:1:pos:R:3 comment="Sr2Hg2Au | the Open Quantum Materials Database | PBE-GGA | relaxed" crystal_system=tetragonal sg="No. 127" total_energy_ev_per_cell=-18.4 pbc="T T T"
Au 0.0000 0.0000 0.0000
Au 4.0532 -4.0703 -1.8267
Hg 1.5188 -3.5290 1.2883
Hg 3.4454 -7.6538 -0.0352
Hg 5.7105 -1.3883 0.7189
Hg 7.6372 -5.5131 -0.6046
Sr 1.3114 -5.5869 -1.4785
Sr 2.6773 -1.3778 -0.9342
Sr 5.4292 -6.7628 -2.7193
Sr 6.7951 -2.5537 -2.1750

=====

Entry 9:
3
Lattice="0.0000 3.3460 3.3460 3.3460 0.0000 3.3460 3.3460 3.3460 0.0000" Properties=species:S:1:pos:R:3 comment="GdCdPt | the Open Quantum Materials Database | PBE-GGA | relaxed" crystal_system=cubic sg="No. 216" delta_e_f_kj_per_mol_fu=-226 pbc="T T T"
Cd 1.6730 1.6730 1.6730
Gd 5.0190 5.0190 5.0190
Pt 0.0000 0.0000 0.0000

=====

Entry 10:
8
Lattice="3.6068 -4.1943 0.0000 3.6068 4.1943 0.0000 0.0000 0.0000 4.2521" Properties=species:S:1:pos:R:3 comment="Li3Au5 | the Open Quantum Materials Database | PBE-GGA | relaxed" e_above_lowest_polymorph_ev_per_fu=0.00 crystal_system=orthorhombic sg="No. 65" pbc="T T T"
Au 1.8034 -2.0972 0.0000
Au 1.8034 2.0972 0.0000
Au 3.6068 0.0000 0.0000
Au 1.5373 0.0000 2.1261
Au 5.6763 0.0000 2.1261
Li 0.0000 0.0000 0.0000
Li 3.6068 -1.8918 2.1261
Li 3.6068 1.8918 2.1261

=====

Entry 11:
8
Lattice="5.5634 0.0000 0.0000 0.0000 2.7583 0.0000 0.0000 0.0000 5.8504" Properties=species:S:1:pos:R:3 comment="TcOsNO | the Open Quantum Materials Database | PBE-GGA | relaxed" e_above_lowest_polymorph_ev_per_fu=0.00 crystal_system=orthorhombic sg="No. 26" pbc="T T T"
N 4.5365 0.0000 1.8311
N 1.7548 0.0000 4.0193
O 2.3089 1.3792 0.6343
O 5.0906 1.3792 5.2161
Os 0.3619 1.3792 1.3299
Os 3.1436 1.3792 4.5205
Tc 2.5509 0.0000 2.2105
Tc 5.3326 0.0000 3.6399